[1]
First-principles (PBE) data for crystalline Mg2InAs2Rh5 at its relaxed geometry, as listed in Alexandria.

Cell and atoms, written as POSCAR:
```
Mg2InAs2Rh5
1.0
9.572 0.000 0.000
0.000 9.572 0.000
0.000 0.000 3.578
Mg In As Rh
4 2 4 10
Cartesian
1.643 3.143 0.000 Mg
3.143 7.929 0.000 Mg
6.429 1.643 0.000 Mg
7.929 6.429 0.000 Mg
0.000 0.000 0.000 In
4.786 4.786 0.000 In
1.226 6.012 0.000 As
3.560 1.226 0.000 As
6.012 8.346 0.000 As
8.346 3.560 0.000 As
0.000 4.786 1.789 Rh
0.699 7.572 1.789 Rh
2.000 0.699 1.789 Rh
2.786 5.485 1.789 Rh
4.087 2.786 1.789 Rh
4.786 0.000 1.789 Rh
5.485 6.787 1.789 Rh
6.787 4.087 1.789 Rh
7.572 8.873 1.789 Rh
8.873 2.000 1.789 Rh
```

Calculated values
- DOS(E_F) (states/eV per atom) = 0.376
- VASP energy (eV/atom) = -5.6824
- SG = P4/mbm, No. 127
- formation enthalpy at 0 K (eV per formula unit) = -4.84


[2]
First-principles (PBE) data for crystalline Te2PdCl at its relaxed geometry, as listed in Alexandria.

Cell and atoms, written as POSCAR:
```
Te2PdCl
1.0
2.049 1.183 7.290
-2.049 1.183 7.290
0.000 -2.366 7.290
Te Pd Cl
2 1 1
Cartesian
0.000 0.000 0.000 Te
0.000 0.000 4.703 Te
0.000 0.000 13.303 Pd
0.000 0.000 17.227 Cl
```

Calculated values
- DOS(E_F) (states/eV per atom) = 0.565
- uncorrected formation energy (meV per atom) = -345
- VASP energy (eV/atom) = -3.6760
- SG = R3m, No. 160


[3]
First-principles (PBE) data for crystalline PmNd4Sb5 at its relaxed geometry, as listed in Alexandria.

Cell and atoms, written as POSCAR:
```
PmNd4Sb5
1.0
-2.261 3.192 11.288
2.261 -3.192 11.288
2.261 3.192 -11.288
Pm Nd Sb
1 4 5
Cartesian
0.000 0.000 0.000 Pm
0.000 0.000 4.508 Nd
0.000 0.000 9.032 Nd
0.000 0.000 13.543 Nd
0.000 0.000 18.067 Nd
2.261 0.000 2.241 Sb
2.261 0.000 6.771 Sb
0.000 3.192 0.000 Sb
0.000 3.192 4.517 Sb
0.000 3.192 9.046 Sb
```

Calculated values
- DOS(E_F) (states/eV per atom) = 0.191
- uncorrected formation energy (meV per atom) = -1189
- VASP energy (eV/atom) = -5.6328
- SG = Immm, No. 71


What did the third record say?
First-principles (PBE) data for crystalline PmNd4Sb5 at its relaxed geometry, as listed in Alexandria.

Cell and atoms, written as POSCAR:
```
PmNd4Sb5
1.0
-2.261 3.192 11.288
2.261 -3.192 11.288
2.261 3.192 -11.288
Pm Nd Sb
1 4 5
Cartesian
0.000 0.000 0.000 Pm
0.000 0.000 4.508 Nd
0.000 0.000 9.032 Nd
0.000 0.000 13.543 Nd
0.000 0.000 18.067 Nd
2.261 0.000 2.241 Sb
2.261 0.000 6.771 Sb
0.000 3.192 0.000 Sb
0.000 3.192 4.517 Sb
0.000 3.192 9.046 Sb
```

Calculated values
- DOS(E_F) (states/eV per atom) = 0.191
- uncorrected formation energy (meV per atom) = -1189
- VASP energy (eV/atom) = -5.6328
- SG = Immm, No. 71


Q: Which formula does entry 2 have?
A: Te2PdCl


Q: What is the formula in the second record?
A: Te2PdCl